1.
Entry from Alexandria: a relaxed structure of Pr2SeF3 (PBE-GGA).

Cell lengths 15.421, 3.974, 8.038 Å; angles 90.00, 115.54, 90.00 degrees
Space group C2/m (No. 12)
Unique sites:
Pr: 0.023 0.000 0.226 [4 per cell]
Pr: 0.209 0.500 0.700 [4 per cell]
Se: 0.131 0.500 0.061 [4 per cell]
F: 0.063 0.500 0.420 [4 per cell]
F: 0.117 0.000 0.710 [4 per cell]
F: 0.193 0.000 0.474 [4 per cell]

Summary:
As for the calculated total energy: -37.626 eV per formula unit. The magnetization is 0.28 μB per formula unit. For the formation energy from raw total energies, the calculation gives -3161 meV per atom. For the theoretical density, the calculation gives 6.24 g/cm³. The density of states at the Fermi level comes out at 6.3 states/eV per cell.

=====

2.
Entry from Alexandria: a relaxed structure of YP (PBE-GGA).

Cell lengths 10.541, 3.812, 7.265 Å; angles 90.00, 112.35, 90.00 degrees
Space group Cm (No. 8)
Unique sites:
Y: 0.000 0.000 0.000 [2 per cell]
Y: 0.159 0.000 0.657 [2 per cell]
Y: 0.329 0.500 0.363 [2 per cell]
P: 0.050 0.500 0.324 [2 per cell]
P: 0.220 0.500 0.961 [2 per cell]
P: 0.421 0.000 0.669 [2 per cell]

Summary:
As for the calculated total energy: -14.454 eV per formula unit. The magnetization is 0.00 μB per formula unit. For the theoretical density, the calculation gives 4.42 g/cm³. Its formation energy from the elements is -2.6 eV/f.u. The density of states at the Fermi level comes out at 2.1 states/eV per cell.

=====

3.
Entry from Alexandria: a relaxed structure of MnCd (PBE-GGA).

Cell lengths 4.3438, 4.3438, 5.2697 Å; angles 90.00, 90.00, 120.00 degrees
Space group P6_3/mmc (No. 194)
Unique sites:
Mn: 0.0000 0.0000 0.0000 [2 per cell]
Cd: 0.3333 0.6667 0.2500 [2 per cell]

Summary:
As for the calculated total energy: -8.854 eV per formula unit. The magnetization is 3.90 μB per formula unit. For the theoretical density, the calculation gives 6.45 g/cm³. Its formation energy from the elements is 1.2 eV/f.u. The density of states at the Fermi level comes out at 2.4 states/eV per cell.

=====

4.
Entry from Alexandria: a relaxed structure of Y5ErGe4 (PBE-GGA).

Cell lengths 15.261, 4.934, 6.910 Å; angles 90.00, 90.24, 90.00 degrees
Space group C2/m (No. 12)
Unique sites:
Y: 0.000 0.000 0.000 [2 per cell]
Y: 0.165 0.500 0.506 [4 per cell]
Y: 0.165 0.500 0.994 [4 per cell]
Er: 0.000 0.000 0.500 [2 per cell]
Ge: 0.010 0.500 0.252 [4 per cell]
Ge: 0.179 0.000 0.749 [4 per cell]

Summary:
As for the calculated total energy: -61.912 eV per formula unit. The magnetization is 0.00 μB per formula unit. For the theoretical density, the calculation gives 5.76 g/cm³. Its formation energy from the elements is -6.6 eV/f.u. The density of states at the Fermi level comes out at 10.7 states/eV per cell.

=====

5.
Entry from Alexandria: a relaxed structure of MoRuRh2 (PBE-GGA).

Cell lengths 5.412, 7.832, 2.725 Å; angles 90.00, 90.00, 90.00 degrees
Space group Cmmm (No. 65)
Unique sites:
Mo: 0.000 0.000 0.000 [2 per cell]
Ru: 0.000 0.500 0.000 [2 per cell]
Rh: 0.250 0.250 0.500 [4 per cell]

Summary:
As for the calculated total energy: -35.084 eV per formula unit. The magnetization is 0.00 μB per formula unit. For the theoretical density, the calculation gives 11.58 g/cm³. Its formation energy from the elements is -0.3 eV/f.u. As for the distance to the lowest polymorph of the same formula: 140 meV per atom. The density of states at the Fermi level comes out at 9.5 states/eV per cell.

=====

6.
Entry from Alexandria: a relaxed structure of KTl2SnS4 (PBE-GGA).

Cell lengths 8.049, 8.745, 11.964 Å; angles 90.00, 90.00, 90.00 degrees
Space group Imma (No. 74)
Unique sites:
K: 0.000 0.000 0.000 [4 per cell]
Tl: 0.000 0.000 0.500 [4 per cell]
Tl: 0.250 0.250 0.250 [4 per cell]
Sn: 0.250 0.250 0.750 [4 per cell]
S: 0.000 0.042 0.746 [8 per cell]
S: 0.237 0.250 0.535 [8 per cell]

Summary:
As for the calculated total energy: -29.823 eV per formula unit. The magnetization is 0.00 μB per formula unit. For the formation energy from raw total energies, the calculation gives -435 meV per atom. For the theoretical density, the calculation gives 5.48 g/cm³. The density of states at the Fermi level comes out at 15.3 states/eV per cell.

=====

7.
Entry from Alexandria: a relaxed structure of LaSb (PBE-GGA).

Cell lengths 3.8100, 3.8100, 30.9881 Å; angles 90.00, 90.00, 120.00 degrees
Space group R-3m (No. 166, hexagonal axes)
Unique sites:
La: 0.0000 0.0000 0.1174 [6 per cell]
Sb: 0.0000 0.0000 0.3695 [6 per cell]

Summary:
As for the calculated total energy: -9.346 eV per formula unit. The magnetization is 0.00 μB per formula unit. For the formation energy from raw total energies, the calculation gives -148 meV per atom. For the theoretical density, the calculation gives 6.67 g/cm³. The density of states at the Fermi level comes out at 12.6 states/eV per cell.

=====

8.
Entry from Alexandria: a relaxed structure of KCd3Ag (PBE-GGA).

Cell lengths 7.045, 13.371, 5.741 Å; angles 90.00, 90.00, 90.00 degrees
Space group Cmcm (No. 63)
Unique sites:
K: 0.000 0.096 0.250 [4 per cell]
Cd: 0.000 0.311 0.750 [4 per cell]
Cd: 0.216 0.344 0.250 [8 per cell]
Ag: 0.000 0.500 0.000 [4 per cell]

Summary:
As for the calculated total energy: -7.038 eV per formula unit. The magnetization is 0.00 μB per formula unit. For the theoretical density, the calculation gives 5.95 g/cm³. Its formation energy from the elements is -0.3 eV/f.u. As for the distance to the lowest polymorph of the same formula: 0 meV per atom. The density of states at the Fermi level comes out at 7.8 states/eV per cell.